# ReAgSn2 (PBE, optimized geometry)
# Total DFT energy (no corrections) ... -19.2 eV per formula unit
# Distance to the lowest polymorph of the same formula ... 1.74 eV/f.u.
# Crystal system ... tetragonal
# Formation energy ... 1.02 eV per atom
data_ReAgSn2
_chemical_formula_sum 'Re4 Ag4 Sn8'
_space_group_name_H-M_alt 'I -4 2 d'
_space_group_IT_number 122
_space_group_name_Hall 'I -4 2bw'
_cell_length_a 6.5383
_cell_length_b 6.5383
_cell_length_c 11.0378
_cell_angle_alpha 90.00
_cell_angle_beta 90.00
_cell_angle_gamma 90.00
loop_
_atom_site_label
_atom_site_type_symbol
_atom_site_fract_x
_atom_site_fract_y
_atom_site_fract_z
Re1 Re 0.0000 0.0000 0.0000
Ag1 Ag 0.0000 0.0000 0.5000
Sn1 Sn 0.2230 0.2500 0.1250